# 1
# NbAgOs3 (meta-GGA SCAN, single point on PBEsol structure)
data_NbAgOs3
_chemical_formula_sum 'Nb1 Ag1 Os3'
_cell_length_a 4.597
_cell_length_b 4.597
_cell_length_c 4.597
_cell_angle_alpha 90.00
_cell_angle_beta 90.00
_cell_angle_gamma 90.00
_symmetry_space_group_name_H-M 'P 1'
_symmetry_Int_Tables_number 1
loop_
_symmetry_equiv_pos_as_xyz
'x,y,z'
loop_
_atom_site_label
_atom_site_fract_x
_atom_site_fract_y
_atom_site_fract_z
Nb1 0.000 0.000 0.000
Ag1 0.500 0.500 0.500
Os1 0.000 0.500 0.500
Os2 0.500 0.000 0.500
Os3 0.500 0.500 0.000
# Space group: Pm-3m, No. 221
# Formation energy from the elements (eV/atom): 2.96
# D(E_F) (states/eV per atom): 1.4128
# Crystal system: cubic
# M_tot (μB/cell): 0.00

***

# 2
# Sc2TaSb (meta-GGA SCAN, single point on PBEsol structure)
data_Sc2TaSb
_chemical_formula_sum 'Sc6 Ta3 Sb3'
_cell_length_a 3.198
_cell_length_b 3.198
_cell_length_c 28.599
_cell_angle_alpha 90.00
_cell_angle_beta 90.00
_cell_angle_gamma 120.00
_symmetry_space_group_name_H-M 'P 1'
_symmetry_Int_Tables_number 1
loop_
_symmetry_equiv_pos_as_xyz
'x,y,z'
loop_
_atom_site_label
_atom_site_fract_x
_atom_site_fract_y
_atom_site_fract_z
Sc1 0.000 0.000 0.248
Sc2 0.000 0.000 0.752
Sc3 0.333 0.667 0.419
Sc4 0.333 0.667 0.915
Sc5 0.667 0.333 0.085
Sc6 0.667 0.333 0.581
Ta1 0.000 0.000 0.500
Ta2 0.333 0.667 0.167
Ta3 0.667 0.333 0.833
Sb1 0.000 0.000 0.000
Sb2 0.333 0.667 0.667
Sb3 0.667 0.333 0.333
# Space group: R-3m, No. 166
# D(E_F) (states/eV per atom): 1.1494
# Formation energy (no corrections) (eV/f.u.): -0.4
# Crystal system: trigonal
# M_tot (μB/cell): 0.01

***

# 3
# Tc2GeBr (meta-GGA SCAN, single point on PBEsol structure)
data_Tc2GeBr
_chemical_formula_sum 'Tc8 Ge4 Br4'
_cell_length_a 6.157
_cell_length_b 6.157
_cell_length_c 6.157
_cell_angle_alpha 90.00
_cell_angle_beta 90.00
_cell_angle_gamma 90.00
_symmetry_space_group_name_H-M 'P 1'
_symmetry_Int_Tables_number 1
loop_
_symmetry_equiv_pos_as_xyz
'x,y,z'
loop_
_atom_site_label
_atom_site_fract_x
_atom_site_fract_y
_atom_site_fract_z
Tc1 0.250 0.250 0.250
Tc2 0.250 0.250 0.750
Tc3 0.250 0.750 0.250
Tc4 0.250 0.750 0.750
Tc5 0.750 0.250 0.250
Tc6 0.750 0.250 0.750
Tc7 0.750 0.750 0.250
Tc8 0.750 0.750 0.750
Ge1 0.000 0.000 0.000
Ge2 0.000 0.500 0.500
Ge3 0.500 0.000 0.500
Ge4 0.500 0.500 0.000
Br1 0.000 0.000 0.500
Br2 0.000 0.500 0.000
Br3 0.500 0.000 0.000
Br4 0.500 0.500 0.500
# Space group: Fm-3m, No. 225
# D(E_F) (states/eV per atom): 0.8440
# Formation energy (no corrections) (eV/f.u.): 2.7
# Crystal system: cubic
# M_tot (μB/cell): 0.00

***

# 4
# LaOsW2 (meta-GGA SCAN, single point on PBEsol structure)
data_LaOsW2
_chemical_formula_sum 'La1 Os1 W2'
_cell_length_a 2.859
_cell_length_b 2.859
_cell_length_c 8.919
_cell_angle_alpha 90.00
_cell_angle_beta 90.00
_cell_angle_gamma 90.00
_symmetry_space_group_name_H-M 'P 1'
_symmetry_Int_Tables_number 1
loop_
_symmetry_equiv_pos_as_xyz
'x,y,z'
loop_
_atom_site_label
_atom_site_fract_x
_atom_site_fract_y
_atom_site_fract_z
La1 0.000 0.000 0.000
Os1 0.000 0.000 0.500
W1 0.500 0.500 0.298
W2 0.500 0.500 0.702
# Space group: P4/mmm, No. 123
# Formation energy from the elements (eV/atom): 0.55
# D(E_F) (states/eV per atom): 1.0303
# Crystal system: tetragonal
# M_tot (μB/cell): 0.00